[1]
## CaCu2Hg (PBE-GGA)

Data for a relaxed CaCu2Hg crystal.

Computed properties:
Mass density (g/cm³): 7.4
Total magnetic moment (μB/f.u.): 0.0
E_tot (eV/atom): -2.73
E_form (eV per atom): -0.109
DOS at the Fermi energy (states/eV/cell): 1.85

a = 4.5245 Å, b = 4.5245 Å, c = 5.3692 Å
α = 114.96°, β = 114.96°, γ = 59.84°
Atoms (fractional coordinates):
Ca: 0.0000 0.0000 0.0000
Cu: 0.2039 0.2039 0.6109
Cu: 0.7961 0.7961 0.3891
Hg: 0.5000 0.5000 0.5000


[2]
## Ca2CuHg (PBE-GGA)

Data for a relaxed Ca2CuHg crystal.

Computed properties:
Mass density (g/cm³): 5.7
Total magnetic moment (μB/f.u.): 0.0
E_tot (eV/atom): -2.38
E_form (eV per atom): -0.277
DOS at the Fermi energy (states/eV/cell): 3.09

a = 5.2414 Å, b = 5.2414 Å, c = 3.6702 Å
α = 90.00°, β = 90.00°, γ = 90.00°
Atoms (fractional coordinates):
Ca: 0.0000 0.5000 0.0000
Ca: 0.5000 0.0000 0.0000
Cu: 0.0000 0.0000 0.5000
Hg: 0.5000 0.5000 0.5000


[3]
## CaCu2Hg (PBE-GGA)

Data for a relaxed CaCu2Hg crystal.

Computed properties:
Mass density (g/cm³): 7.8
Total magnetic moment (μB/f.u.): 0.0
E_tot (eV/atom): -2.61
E_form (eV per atom): 0.018
DOS at the Fermi energy (states/eV/cell): 1.45

a = 4.4428 Å, b = 4.4428 Å, c = 3.9707 Å
α = 90.12°, β = 90.12°, γ = 90.37°
Atoms (fractional coordinates):
Ca: 0.0000 0.0000 0.0000
Cu: 0.0000 0.5000 0.5000
Cu: 0.5000 0.0000 0.5000
Hg: 0.5000 0.5000 0.0000